1.
PrLu3Rh: relaxed, GGA-PBE.

Cell: 5.3226 5.3226 5.3226 Å, 90.00 90.00 90.00°
With the nearest neighbours (Å) after each atom.
Space group Pm-3m (No. 221)
One atom of each set of equivalent atoms:
Pr  0.0000  0.0000  0.0000 (multiplicity 1)  12 Lu 3.76
Lu  0.0000  0.5000  0.5000 (multiplicity 3)  2 Rh 2.66
Rh  0.5000  0.5000  0.5000 (multiplicity 1)  6 Lu 2.66

Output
size of the total moment: 0.0 μB per formula unit
formation energy from the elements: -0.308 eV per atom



2.
KU2NiS4: relaxed, GGA-PBE.

Cell: 3.8704 13.5524 13.4502 Å, 90.00 90.00 90.00°
With the nearest neighbours (Å) after each atom.
Space group Cmcm (No. 63)
One atom of each set of equivalent atoms:
K  0.0000  0.1013  0.2500 (multiplicity 4)  6 S 3.11-3.22
U  0.0000  0.3651  0.0609 (multiplicity 8)  6 S 2.66-2.79
Ni  0.0000  0.1697  0.7500 (multiplicity 4)  4 S 2.24-2.30
S  0.0000  0.0000  0.0000 (multiplicity 4)  4 U 2.79
S  0.0000  0.2647  0.6139 (multiplicity 8)  1 Ni 2.24
S  0.0000  0.4217  0.2500 (multiplicity 4)  2 Ni 2.30

Output
formation energy without anion corrections: -1274 meV per atom
size of the total moment: 4.7 μB per formula unit



3.
Sr6Ag5Ge: relaxed, GGA-PBE.

Cell: 5.4841 7.9242 16.5527 Å, 90.00 90.00 90.00°
With the nearest neighbours (Å) after each atom.
Space group Immm (No. 71)
One atom of each set of equivalent atoms:
Sr  0.0000  0.2410  0.0000 (multiplicity 4)  2 Ge 3.34, 6 Ag 3.42-3.45
Sr  0.0000  0.2552  0.3377 (multiplicity 8)  1 Ge 3.31, 7 Ag 3.36-3.43
Ag  0.0000  0.0000  0.1735 (multiplicity 4)  8 Sr 3.36-3.45
Ag  0.0000  0.0000  0.5000 (multiplicity 2)  8 Sr 3.36-3.42
Ag  0.0000  0.5000  0.1671 (multiplicity 4)  8 Sr 3.41-3.44, 2 Ag 3.81
Ge  0.0000  0.5000  0.5000 (multiplicity 2)  8 Sr 3.31-3.34

Output
size of the total moment: 0.0 μB per formula unit
formation energy from the elements: -0.322 eV per atom